Entry 1:
# Ac3LaNi

A relaxed structure of Ac3LaNi (PBE-GGA, Alexandria via LeMat-Bulk).

Output
The calculation puts the energy above the lowest structure with this stoichiometry at 0.0 meV per atom. The value obtained for the formation energy is -0.1118 eV/atom. The value obtained for the total energy is -4.719 eV/atom.

Unit cell a=6.7472 b=6.7472 c=15.2093 alpha=112.07 beta=112.07 gamma=34.29
With the nearest neighbours (Å) after each atom.
Fractional coordinates of all 10 atoms:
1 Ac 0.0000 0.0000 0.0000  2 Ni 3.19
2 Ac 0.0110 0.0110 0.6323  10 Ac 3.89-4.09, 2 La 3.98, 1 Ni 4.04
3 Ac 0.3436 0.3436 0.7586  3 La 3.86-3.91, 9 Ac 3.95-4.00, 1 Ni 3.96
4 Ac 0.3562 0.3562 0.3791  2 Ni 3.04
5 Ac 0.5602 0.5602 0.2396  2 Ni 2.98
6 Ac 0.6829 0.6829 0.5140  2 Ni 3.00
7 La 0.6737 0.6737 0.8741  2 Ni 2.88
8 La 0.7889 0.7889 0.1343  2 Ni 2.87
9 Ni 0.0320 0.0320 0.3743  6 Ac 2.98-3.04
10 Ni 0.3097 0.3097 0.0061  4 La 2.87-2.88, 2 Ac 3.19

=====

Entry 2:
# Sc2AgSe

A relaxed structure of Sc2AgSe (PBE-GGA, Alexandria via LeMat-Bulk).

Output
The value obtained for the uncorrected formation energy is -1.04 eV per formula unit. The value obtained for the total energy is -5.011 eV/atom.

Unit cell a=4.2083 b=4.2083 c=23.2354 alpha=90.00 beta=90.00 gamma=120.00
With the nearest neighbours (Å) after each atom.
Fractional coordinates of all 12 atoms:
1 Sc 0.0000 0.0000 0.1057  1 Se 2.46
2 Sc 0.0000 0.0000 0.8943  1 Se 2.46
3 Sc 0.3333 0.6667 0.5609  1 Se 2.46
4 Sc 0.3333 0.6667 0.7724  1 Se 2.46
5 Sc 0.6667 0.3333 0.2276  1 Se 2.46
6 Sc 0.6667 0.3333 0.4391  1 Se 2.46
7 Ag 0.0000 0.0000 0.5000  6 Sc 2.81
8 Ag 0.3333 0.6667 0.1667  6 Sc 2.81
9 Ag 0.6667 0.3333 0.8333  6 Sc 2.81
10 Se 0.0000 0.0000 0.0000  2 Sc 2.46
11 Se 0.3333 0.6667 0.6667  2 Sc 2.46
12 Se 0.6667 0.3333 0.3333  2 Sc 2.46

=====

Entry 3:
# NaPaZn2O6

A relaxed structure of NaPaZn2O6 (PBE-GGA, Alexandria via LeMat-Bulk).

Output
The value obtained for the uncorrected formation energy is -18.85 eV per formula unit. The value obtained for the total energy is -6.196 eV/atom.

Unit cell a=7.1570 b=7.1570 c=5.6714 alpha=96.34 beta=96.34 gamma=89.77
With the nearest neighbours (Å) after each atom.
Fractional coordinates of all 20 atoms:
1 Na 0.0829 0.9171 0.7500  6 O 2.38-2.46
2 Na 0.9171 0.0829 0.2500  6 O 2.38-2.46
3 Pa 0.2765 0.7235 0.2500  6 O 2.07-2.23
4 Pa 0.7235 0.2765 0.7500  6 O 2.07-2.23
5 Zn 0.2197 0.3969 0.6924  4 O 1.93-1.98
6 Zn 0.3969 0.2197 0.1924  4 O 1.93-1.98
7 Zn 0.6031 0.7803 0.8076  4 O 1.93-1.98
8 Zn 0.7803 0.6031 0.3076  4 O 1.93-1.98
9 O 0.0017 0.2331 0.6434  1 Zn 1.93, 1 Pa 2.16
10 O 0.1669 0.6195 0.9072  1 Zn 1.96, 1 Pa 2.07
11 O 0.2331 0.0017 0.1434  1 Zn 1.93, 1 Pa 2.16
12 O 0.2870 0.4384 0.3737  2 Zn 1.97-1.98
13 O 0.3805 0.8331 0.5928  1 Zn 1.96, 1 Pa 2.07
14 O 0.4384 0.2870 0.8737  2 Zn 1.97-1.98
15 O 0.5616 0.7130 0.1263  2 Zn 1.97-1.98
16 O 0.6195 0.1669 0.4072  1 Zn 1.96, 1 Pa 2.07
17 O 0.7130 0.5616 0.6263  2 Zn 1.97-1.98
18 O 0.7669 0.9983 0.8566  1 Zn 1.93, 1 Pa 2.16
19 O 0.8331 0.3805 0.0928  1 Zn 1.96, 1 Pa 2.07
20 O 0.9983 0.7669 0.3566  1 Zn 1.93, 1 Pa 2.16

=====

Entry 4:
# Ce2Te5

A relaxed structure of Ce2Te5 (PBE-GGA, Alexandria via LeMat-Bulk).

Output
The value obtained for the uncorrected formation energy is -7.50 eV per formula unit. The value obtained for the total energy is -5.011 eV/atom.

Unit cell a=22.5195 b=22.5195 c=4.4479 alpha=90.00 beta=90.00 gamma=168.67
With the nearest neighbours (Å) after each atom.
Fractional coordinates of all 14 atoms:
1 Ce 0.1006 0.8994 0.7500  9 Te 3.28-3.33
2 Ce 0.3058 0.6942 0.7500  9 Te 3.26-3.35
3 Ce 0.6942 0.3058 0.2500  9 Te 3.26-3.35
4 Ce 0.8994 0.1006 0.2500  9 Te 3.28-3.33
5 Te 0.0456 0.9544 0.2500  4 Te 3.14, 2 Ce 3.32
6 Te 0.1749 0.8251 0.7500  5 Ce 3.26-3.33
7 Te 0.2500 0.7500 0.2500  4 Te 3.14, 4 Ce 3.35
8 Te 0.3787 0.6213 0.7500  5 Ce 3.27-3.28
9 Te 0.4543 0.5457 0.2500  4 Te 3.14, 2 Ce 3.32
10 Te 0.5457 0.4543 0.7500  4 Te 3.14, 2 Ce 3.32
11 Te 0.6213 0.3787 0.2500  5 Ce 3.27-3.28
12 Te 0.7500 0.2500 0.7500  4 Te 3.14, 4 Ce 3.35
13 Te 0.8251 0.1749 0.2500  5 Ce 3.26-3.33
14 Te 0.9544 0.0456 0.7500  4 Te 3.14, 2 Ce 3.32

=====

Entry 5:
# La8DyHo2

A relaxed structure of La8DyHo2 (PBE-GGA, Alexandria via LeMat-Bulk).

Output
The value obtained for the formation energy is 0.1260 eV/atom. The value obtained for the total energy is -4.708 eV/atom.

Unit cell a=9.6038 b=9.6038 c=6.0745 alpha=105.61 beta=105.61 gamma=122.34
With the nearest neighbours (Å) after each atom.
Fractional coordinates of all 11 atoms:
1 La 0.0956 0.3342 0.6840  3 La 3.30-3.65, 2 Ho 3.59-3.63
2 La 0.2055 0.7945 0.0000  1 Dy 3.46, 2 Ho 3.52, 6 La 3.70-3.75
3 La 0.3342 0.0956 0.6840  3 La 3.30-3.65, 2 Ho 3.59-3.63
4 La 0.4201 0.4201 0.2016  3 La 3.06-3.30, 1 Dy 3.36
5 La 0.5799 0.5799 0.7984  3 La 3.06-3.30, 1 Dy 3.36
6 La 0.6658 0.9044 0.3160  3 La 3.30-3.65, 2 Ho 3.59-3.63
7 La 0.7945 0.2055 0.0000  1 Dy 3.46, 2 Ho 3.52, 6 La 3.70-3.75
8 La 0.9044 0.6658 0.3160  3 La 3.30-3.65, 2 Ho 3.59-3.63
9 Dy 0.0000 0.0000 0.0000  4 La 3.36-3.46
10 Ho 0.3111 0.6889 0.5000  10 La 3.52-3.88
11 Ho 0.6889 0.3111 0.5000  10 La 3.52-3.88

=====

Entry 6:
# Mn3SiH

A relaxed structure of Mn3SiH (PBE-GGA, Alexandria via LeMat-Bulk).

Output
The calculation puts the energy above the lowest structure with this stoichiometry at 141.5 meV per atom. The value obtained for the total energy is -7.357 eV/atom.

Unit cell a=2.6162 b=5.1560 c=7.3445 alpha=90.00 beta=90.00 gamma=90.00
With the nearest neighbours (Å) after each atom.
Fractional coordinates of all 10 atoms:
1 Mn 0.0000 0.0000 0.0000  2 H 1.67
2 Mn 0.0000 0.5000 0.5000  2 H 1.67
3 Mn 0.5000 0.2481 0.2177  1 H 1.66
4 Mn 0.5000 0.2519 0.7177  1 H 1.66
5 Mn 0.5000 0.7481 0.7177  1 H 1.66
6 Mn 0.5000 0.7519 0.2177  1 H 1.66
7 Si 0.0000 0.0000 0.4673  10 Mn 2.59-2.60, 2 Si 2.62
8 Si 0.0000 0.5000 0.9673  10 Mn 2.59-2.60, 2 Si 2.62
9 H 0.5000 0.0000 0.8586  4 Mn 1.66-1.67
10 H 0.5000 0.5000 0.3586  4 Mn 1.66-1.67